No. 1
Density functional theory data (GGA-PBEsol) for a relaxed structure of Sc2PF.

POSCAR file:
```
Sc2PF
1.0
1.516 0.875 8.393
-1.516 0.875 8.393
0.000 -1.750 8.393
Sc P F
2 1 1
Cartesian
0.000 0.000 2.499 Sc
0.000 0.000 22.678 Sc
0.000 0.000 0.000 P
0.000 0.000 12.589 F
```

## Properties
uncorrected formation energy = -956 meV/atom
Fermi-level density of states = 3.3 states/eV/f.u.


No. 2
Density functional theory data (GGA-PBEsol) for a relaxed structure of Sc2PF.

POSCAR file:
```
Sc2PF
1.0
1.954 1.128 6.421
-1.954 1.128 6.421
0.000 -2.257 6.421
Sc P F
2 1 1
Cartesian
0.000 0.000 2.027 Sc
0.000 0.000 17.235 Sc
0.000 0.000 9.631 P
0.000 0.000 0.000 F
```

## Properties
uncorrected formation energy = -1960 meV/atom
Fermi-level density of states = 1.1 states/eV/f.u.


No. 3
Density functional theory data (GGA-PBEsol) for a relaxed structure of ScP2F.

POSCAR file:
```
ScP2F
1.0
0.000 3.100 3.100
3.100 0.000 3.100
3.100 3.100 0.000
Sc P F
1 2 1
Cartesian
0.000 0.000 0.000 Sc
1.550 1.550 1.550 P
4.650 4.650 4.650 P
3.100 3.100 3.100 F
```

## Properties
uncorrected formation energy = -544 meV/atom
Fermi-level density of states = 1.9 states/eV/f.u.


No. 4
Density functional theory data (GGA-PBEsol) for a relaxed structure of PSe2F.

POSCAR file:
```
PSe2F
1.0
1.713 0.989 7.439
-1.713 0.989 7.439
0.000 -1.977 7.439
P Se F
1 2 1
Cartesian
0.000 0.000 0.000 P
0.000 0.000 8.986 Se
0.000 0.000 13.330 Se
0.000 0.000 11.158 F
```

## Properties
uncorrected formation energy = -279 meV/atom
Fermi-level density of states = 1.6 states/eV/f.u.


Which of these has the lowest Fermi-level density of states? number 2


What is the formula in the second record? Sc2PF


Please write out number 2 again, unchanged.
Density functional theory data (GGA-PBEsol) for a relaxed structure of Sc2PF.

POSCAR file:
```
Sc2PF
1.0
1.954 1.128 6.421
-1.954 1.128 6.421
0.000 -2.257 6.421
Sc P F
2 1 1
Cartesian
0.000 0.000 2.027 Sc
0.000 0.000 17.235 Sc
0.000 0.000 9.631 P
0.000 0.000 0.000 F
```

## Properties
uncorrected formation energy = -1960 meV/atom
Fermi-level density of states = 1.1 states/eV/f.u.


Fermi-level density of states of number 4 (PSe2F)? 1.6 states/eV/f.u.